Below is a relaxed structure of RbPt2Pb8, with properties calculated at the PBE-GGA level. Values from VASP.

Fermi-level density of states = 7.9 states/eV per cell
DFT formation energy = -0.051 eV/atom
magnetic moment = 0.00 μB/f.u.

Cell and atoms, written as Quantum ESPRESSO input:
```
&SYSTEM
  ibrav = 0, nat = 11, ntyp = 3
/
ATOMIC_SPECIES
Rb 85.47 Rb.upf
Pt 195.08 Pt.upf
Pb 207.20 Pb.upf
CELL_PARAMETERS angstrom
6.7535 0.0000 0.0000
0.0000 6.7535 0.0000
0.0000 0.0000 9.4745
ATOMIC_POSITIONS crystal
Rb 0.5000 0.5000 0.5000
Pt 0.5000 0.0000 0.0000
Pt 0.0000 0.5000 0.0000
Pb 0.7521 0.7521 0.1743
Pb 0.7521 0.2479 0.8257
Pb 0.7521 0.7521 0.8257
Pb 0.7521 0.2479 0.1743
Pb 0.2479 0.7521 0.1743
Pb 0.2479 0.7521 0.8257
Pb 0.2479 0.2479 0.1743
Pb 0.2479 0.2479 0.8257
```